# CeTm5Sn2

A relaxed structure of CeTm5Sn2 (PBE-GGA, Alexandria via LeMat-Bulk).

The structure in POSCAR format:
```
CeTm5Sn2
1.0
2.1869 -5.8982 0.0000
2.1869 5.8982 0.0000
0.0000 0.0000 18.4038
Ce Tm Sn
2 10 4
direct
0.1850 0.8150 0.7500
0.8150 0.1850 0.2500
0.0855 0.9145 0.2500
0.1420 0.8580 0.5270
0.1420 0.8580 0.9730
0.4556 0.5444 0.6083
0.4556 0.5444 0.8917
0.5444 0.4556 0.1083
0.5444 0.4556 0.3917
0.8580 0.1420 0.0270
0.8580 0.1420 0.4730
0.9145 0.0855 0.7500
0.2551 0.7449 0.1263
0.2551 0.7449 0.3737
0.7449 0.2551 0.6263
0.7449 0.2551 0.8737
```

DFT formation energy, kJ/mol of formula units: -215
Total DFT energy (no corrections), eV/atom: -4.82